! Mn2GaFeO6, optimized geometry, DFT PBE with a Hubbard U; values from VASP
! - symmetry = P1, No. 1
! - total energy (eV/atom) = -6.92
! - M_tot (μB/atom) = 1.300
&SYSTEM
  ibrav = 0, nat = 10, ntyp = 4
/
ATOMIC_SPECIES
O 16.00 O.upf
Mn 54.94 Mn.upf
Fe 55.84 Fe.upf
Ga 69.72 Ga.upf
CELL_PARAMETERS angstrom
-1.918 -4.604 1.235
0.325 -3.843 -3.359
3.692 -3.878 0.911
ATOMIC_POSITIONS angstrom
O 1.397 -6.644 1.200
O 2.767 -5.006 -0.556
O -0.727 -7.610 -0.739
O 0.771 -5.526 -2.610
O -0.105 -4.633 0.204
O 2.111 -7.539 -1.157
Mn 3.481 -3.840 0.831
Mn 0.836 -6.102 -0.674
Fe 0.792 -9.025 -1.201
Ga -0.234 -2.898 -0.635